SbP2Cl | PBE-GGA | optimized geometry

The calculated total energy comes out at -4.227 eV/atom. The size of the total moment comes out at 0.00 μB per cell. The density of states at the Fermi level comes out at 0.120 states/eV per atom. Its raw formation energy is -0.029 eV/atom. As for the volume: 109.4 Å³/cell.

The space group is Pm (No. 6) and the conventional cell measures 4.002, 3.501 and 7.873 Å, with angles of 90.00, 97.50 and 90.00 degrees. Symmetry generates all atoms from Sb at (0.000, 0.000, 0.000), P at (0.477, 0.000, 0.267), P at (0.846, 0.500, 0.274) and Cl at (0.314, 0.500, 0.804).